# 1
A plane-wave DFT calculation with PBE was carried out for a geometry-optimized PdPtIN2 structure.

Unit cell a=3.782 b=3.782 c=9.036 alpha=90.00 beta=90.00 gamma=90.00
Space group P4/mmm (No. 123)
Inequivalent atoms, fractional coordinates:
Pd 0.000 0.000 0.000 [1 per cell]
Pt 0.500 0.500 0.500 [1 per cell]
I 0.500 0.500 0.000 [1 per cell]
N 0.000 0.500 0.500 [2 per cell]

**Formation energy (no corrections)**: 1.065 eV/atom


# 2
A plane-wave DFT calculation with PBE was carried out for a geometry-optimized PdPtI2N structure.

Unit cell a=5.694 b=5.694 c=3.697 alpha=90.00 beta=90.00 gamma=90.00
Space group P4/mmm (No. 123)
Inequivalent atoms, fractional coordinates:
Pd 0.000 0.000 0.000 [1 per cell]
Pt 0.500 0.500 0.500 [1 per cell]
I 0.000 0.500 0.500 [2 per cell]
N 0.500 0.500 0.000 [1 per cell]

**Formation energy (no corrections)**: 0.682 eV/atom


# 3
A plane-wave DFT calculation with PBE was carried out for a geometry-optimized PdPtIN2 structure.

Unit cell a=3.825 b=3.825 c=8.661 alpha=90.00 beta=90.00 gamma=90.00
Space group P4/mmm (No. 123)
Inequivalent atoms, fractional coordinates:
Pd 0.000 0.000 0.000 [1 per cell]
Pt 0.500 0.500 0.500 [1 per cell]
I 0.000 0.000 0.500 [1 per cell]
N 0.000 0.500 0.000 [2 per cell]

**Formation energy (no corrections)**: 1.540 eV/atom


# 4
A plane-wave DFT calculation with PBE was carried out for a geometry-optimized PdPtI2N structure.

Unit cell a=5.585 b=5.585 c=3.692 alpha=90.00 beta=90.00 gamma=90.00
Space group P4/mmm (No. 123)
Inequivalent atoms, fractional coordinates:
Pd 0.000 0.000 0.000 [1 per cell]
Pt 0.500 0.500 0.500 [1 per cell]
I 0.000 0.500 0.000 [2 per cell]
N 0.000 0.000 0.500 [1 per cell]

**Formation energy (no corrections)**: 1.061 eV/atom


# 5
A plane-wave DFT calculation with PBE was carried out for a geometry-optimized RePdI2N structure.

Unit cell a=5.786 b=5.786 c=3.716 alpha=90.00 beta=90.00 gamma=90.00
Space group P4/mmm (No. 123)
Inequivalent atoms, fractional coordinates:
Re 0.000 0.000 0.000 [1 per cell]
Pd 0.500 0.500 0.500 [1 per cell]
I 0.000 0.500 0.500 [2 per cell]
N 0.500 0.500 0.000 [1 per cell]

**Formation energy (no corrections)**: 1.640 eV/atom


# 6
A plane-wave DFT calculation with PBE was carried out for a geometry-optimized RePdIN2 structure.

Unit cell a=3.929 b=3.929 c=7.571 alpha=90.00 beta=90.00 gamma=90.00
Space group P4/mmm (No. 123)
Inequivalent atoms, fractional coordinates:
Re 0.000 0.000 0.000 [1 per cell]
Pd 0.500 0.500 0.500 [1 per cell]
I 0.500 0.500 0.000 [1 per cell]
N 0.000 0.500 0.500 [2 per cell]

**Formation energy (no corrections)**: 2.260 eV/atom


# 7
A plane-wave DFT calculation with PBE was carried out for a geometry-optimized RePdIN2 structure.

Unit cell a=3.849 b=3.849 c=5.992 alpha=90.00 beta=90.00 gamma=90.00
Space group P4/mmm (No. 123)
Inequivalent atoms, fractional coordinates:
Re 0.000 0.000 0.000 [1 per cell]
Pd 0.500 0.500 0.500 [1 per cell]
I 0.000 0.000 0.500 [1 per cell]
N 0.000 0.500 0.000 [2 per cell]

**Formation energy (no corrections)**: 0.607 eV/atom


# 8
A plane-wave DFT calculation with PBE was carried out for a geometry-optimized RePdI2N structure.

Unit cell a=5.528 b=5.528 c=3.748 alpha=90.00 beta=90.00 gamma=90.00
Space group P4/mmm (No. 123)
Inequivalent atoms, fractional coordinates:
Re 0.000 0.000 0.000 [1 per cell]
Pd 0.500 0.500 0.500 [1 per cell]
I 0.000 0.500 0.000 [2 per cell]
N 0.000 0.000 0.500 [1 per cell]

**Formation energy (no corrections)**: 0.626 eV/atom


# 9
A plane-wave DFT calculation with PBE was carried out for a geometry-optimized PdRhI2N structure.

Unit cell a=5.585 b=5.585 c=3.664 alpha=90.00 beta=90.00 gamma=90.00
Space group P4/mmm (No. 123)
Inequivalent atoms, fractional coordinates:
Pd 0.000 0.000 0.000 [1 per cell]
Rh 0.500 0.500 0.500 [1 per cell]
I 0.000 0.500 0.500 [2 per cell]
N 0.500 0.500 0.000 [1 per cell]

**Formation energy (no corrections)**: 0.586 eV/atom


# 10
A plane-wave DFT calculation with PBE was carried out for a geometry-optimized PdRhI2N structure.

Unit cell a=5.622 b=5.622 c=3.710 alpha=90.00 beta=90.00 gamma=90.00
Space group P4/mmm (No. 123)
Inequivalent atoms, fractional coordinates:
Pd 0.000 0.000 0.000 [1 per cell]
Rh 0.500 0.500 0.500 [1 per cell]
I 0.000 0.500 0.000 [2 per cell]
N 0.000 0.000 0.500 [1 per cell]

**Formation energy (no corrections)**: 1.055 eV/atom


# 11
A plane-wave DFT calculation with PBE was carried out for a geometry-optimized PdRuIN2 structure.

Unit cell a=3.868 b=3.868 c=7.793 alpha=90.00 beta=90.00 gamma=90.00
Space group P4/mmm (No. 123)
Inequivalent atoms, fractional coordinates:
Pd 0.000 0.000 0.000 [1 per cell]
Ru 0.500 0.500 0.500 [1 per cell]
I 0.000 0.000 0.500 [1 per cell]
N 0.000 0.500 0.000 [2 per cell]

**Formation energy (no corrections)**: 1.847 eV/atom


# 12
A plane-wave DFT calculation with PBE was carried out for a geometry-optimized PdRuIN2 structure.

Unit cell a=3.814 b=3.814 c=5.992 alpha=90.00 beta=90.00 gamma=90.00
Space group P4/mmm (No. 123)
Inequivalent atoms, fractional coordinates:
Pd 0.000 0.000 0.000 [1 per cell]
Ru 0.500 0.500 0.500 [1 per cell]
I 0.500 0.500 0.000 [1 per cell]
N 0.000 0.500 0.500 [2 per cell]

**Formation energy (no corrections)**: 0.868 eV/atom


One value per record, in order, for DOS(E_F): 0.774; 1.351; 1.312; 0.970; 0.622; 0.572; 0.437; 1.279; 1.136; 1.014; 0.798; 0.569 states/eV/atom.
One value per record, in order, for energy: -24.109; -19.249; -21.736; -17.355; -20.867; -24.540; -32.808; -25.937; -21.042; -18.695; -23.433; -28.328 eV/cell.